Entry 1:
# Cs2ZrGaS5

An optimized crystal structure of Cs2ZrGaS5 (PBE-GGA, the Alexandria database).

## Properties
Magnetization = 1.38 Bohr magnetons per cell

Geometry as POSCAR:
```
Cs2ZrGaS5
1.0
1.884 -10.460 0.000
1.884 10.460 0.000
0.000 0.000 14.691
Cs Zr Ga S
4 2 2 10
direct
0.129 0.871 0.500
0.129 0.871 0.881
0.871 0.129 0.000
0.871 0.129 0.381
0.210 0.790 0.209
0.790 0.210 0.709
0.423 0.577 0.628
0.577 0.423 0.128
0.073 0.927 0.222
0.297 0.703 0.824
0.314 0.686 0.584
0.324 0.676 0.191
0.486 0.514 0.505
0.514 0.486 0.005
0.676 0.324 0.691
0.686 0.314 0.084
0.703 0.297 0.324
0.927 0.073 0.722
```



Entry 2:
# CsZrGaS4

An optimized crystal structure of CsZrGaS4 (PBE-GGA, the Alexandria database).

## Properties
Magnetization = 0.00 Bohr magnetons per cell

Geometry as POSCAR:
```
CsZrGaS4
1.0
6.354 0.000 0.000
0.000 6.876 0.000
-0.864 0.000 8.849
Cs Zr Ga S
2 2 2 8
direct
0.220 0.250 0.060
0.780 0.750 0.940
0.173 0.750 0.458
0.827 0.250 0.542
0.351 0.250 0.646
0.649 0.750 0.354
0.106 0.003 0.676
0.106 0.497 0.676
0.343 0.750 0.203
0.456 0.250 0.413
0.544 0.750 0.587
0.657 0.250 0.797
0.894 0.503 0.324
0.894 0.997 0.324
```



Entry 3:
# Cs2GaSb2

An optimized crystal structure of Cs2GaSb2 (PBE-GGA, the Alexandria database).

## Properties
Magnetization = 0.60 Bohr magnetons per cell
Energy relative to the lowest polymorph listed for this composition = 0.4903 eV/atom

Geometry as POSCAR:
```
Cs2GaSb2
1.0
-2.154 2.154 12.026
2.154 -2.154 12.026
2.154 2.154 -12.026
Cs Ga Sb
2 1 2
direct
0.110 0.110 0.000
0.890 0.890 0.000
0.500 0.500 0.000
0.250 0.750 0.500
0.750 0.250 0.500
```



Entry 4:
# Cs3GaSb2

An optimized crystal structure of Cs3GaSb2 (PBE-GGA, the Alexandria database).

## Properties
Magnetization = 0.00 Bohr magnetons per cell
Energy relative to the lowest polymorph listed for this composition = 0.0000 eV/atom

Geometry as POSCAR:
```
Cs3GaSb2
1.0
-4.641 8.051 3.799
4.641 -8.051 3.799
4.641 8.051 -3.799
Cs Ga Sb
6 2 4
direct
0.173 0.696 0.868
0.250 0.250 0.000
0.327 0.196 0.523
0.673 0.804 0.477
0.750 0.750 0.000
0.827 0.304 0.132
0.250 0.750 0.500
0.750 0.250 0.500
0.084 0.330 0.414
0.416 0.830 0.246
0.584 0.170 0.754
0.916 0.670 0.586
```



Entry 5:
# CsGa2Sb2

An optimized crystal structure of CsGa2Sb2 (PBE-GGA, the Alexandria database).

## Properties
Magnetization = 0.00 Bohr magnetons per cell
Energy relative to the lowest polymorph listed for this composition = 0.0000 eV/atom

Geometry as POSCAR:
```
CsGa2Sb2
1.0
-2.344 2.344 7.889
2.344 -2.344 7.889
2.344 2.344 -7.889
Cs Ga Sb
1 2 2
direct
0.000 0.000 0.000
0.250 0.750 0.500
0.750 0.250 0.500
0.349 0.349 0.000
0.651 0.651 0.000
```



Entry 6:
# Cs3GaSb2

An optimized crystal structure of Cs3GaSb2 (PBE-GGA, the Alexandria database).

## Properties
Magnetization = 0.01 Bohr magnetons per cell
Energy relative to the lowest polymorph listed for this composition = 0.1467 eV/atom

Geometry as POSCAR:
```
Cs3GaSb2
1.0
11.145 -2.278 0.000
11.145 2.278 0.000
-7.541 0.000 12.621
Cs Ga Sb
6 2 4
direct
0.041 0.041 0.249
0.218 0.218 0.622
0.337 0.337 0.997
0.663 0.663 0.003
0.782 0.782 0.378
0.959 0.959 0.751
0.428 0.428 0.350
0.572 0.572 0.650
0.133 0.133 0.778
0.426 0.426 0.536
0.574 0.574 0.464
0.867 0.867 0.222
```



Entry 7:
# CsGa3Sb

An optimized crystal structure of CsGa3Sb (PBE-GGA, the Alexandria database).

## Properties
Magnetization = 0.00 Bohr magnetons per cell
Energy relative to the lowest polymorph listed for this composition = 0.0000 eV/atom

Geometry as POSCAR:
```
CsGa3Sb
1.0
5.697 0.000 0.000
0.000 5.697 0.000
0.000 0.000 5.697
Cs Ga Sb
1 3 1
direct
0.000 0.000 0.000
0.000 0.500 0.500
0.500 0.000 0.500
0.500 0.500 0.000
0.500 0.500 0.500
```



Entry 8:
# Cs2Ga2Sb

An optimized crystal structure of Cs2Ga2Sb (PBE-GGA, the Alexandria database).

## Properties
Magnetization = 0.00 Bohr magnetons per cell
Energy relative to the lowest polymorph listed for this composition = 0.0000 eV/atom

Geometry as POSCAR:
```
Cs2Ga2Sb
1.0
4.210 -8.091 0.000
4.210 8.091 0.000
-2.683 0.000 6.066
Cs Ga Sb
4 4 2
direct
0.034 0.313 0.322
0.313 0.034 0.322
0.687 0.966 0.678
0.966 0.687 0.678
0.240 0.240 0.869
0.495 0.495 0.724
0.505 0.505 0.276
0.760 0.760 0.131
0.358 0.642 0.000
0.642 0.358 0.000
```



Entry 9:
# CsGaSb2

An optimized crystal structure of CsGaSb2 (PBE-GGA, the Alexandria database).

## Properties
Magnetization = 0.00 Bohr magnetons per cell

Geometry as POSCAR:
```
CsGaSb2
1.0
1.929 1.114 10.923
-1.929 1.114 10.923
0.000 -2.227 10.923
Cs Ga Sb
1 1 2
direct
0.000 0.000 0.000
0.500 0.500 0.500
0.112 0.112 0.112
0.888 0.888 0.888
```



Entry 10:
# Cs6GaSb4

An optimized crystal structure of Cs6GaSb4 (PBE-GGA, the Alexandria database).

## Properties
Magnetization = 6.14 Bohr magnetons per cell

Geometry as POSCAR:
```
Cs6GaSb4
1.0
12.119 0.000 0.000
-6.060 10.496 0.000
0.000 0.000 9.093
Cs Ga Sb
12 2 8
direct
0.051 0.526 0.000
0.143 0.287 0.299
0.143 0.857 0.299
0.287 0.143 0.799
0.474 0.526 0.000
0.474 0.949 0.000
0.526 0.051 0.500
0.526 0.474 0.500
0.713 0.857 0.299
0.857 0.143 0.799
0.857 0.713 0.799
0.949 0.474 0.500
0.333 0.667 0.664
0.667 0.333 0.164
0.205 0.409 0.697
0.205 0.795 0.697
0.333 0.667 0.360
0.409 0.205 0.197
0.591 0.795 0.697
0.667 0.333 0.860
0.795 0.205 0.197
0.795 0.591 0.197
```



Entry 11:
# CsGa3Sb

An optimized crystal structure of CsGa3Sb (PBE-GGA, the Alexandria database).

## Properties
Magnetization = 0.00 Bohr magnetons per cell
Energy relative to the lowest polymorph listed for this composition = 0.9008 eV/atom

Geometry as POSCAR:
```
CsGa3Sb
1.0
5.920 0.000 0.000
0.000 5.920 0.000
0.000 0.000 5.920
Cs Ga Sb
1 3 1
direct
0.000 0.000 0.000
0.000 0.000 0.500
0.000 0.500 0.000
0.500 0.000 0.000
0.500 0.500 0.500
```



Entry 12:
# Cs2GaSb2

An optimized crystal structure of Cs2GaSb2 (PBE-GGA, the Alexandria database).

## Properties
Magnetization = 0.00 Bohr magnetons per cell
Energy relative to the lowest polymorph listed for this composition = 0.0332 eV/atom

Geometry as POSCAR:
```
Cs2GaSb2
1.0
7.389 0.000 0.000
2.947 7.189 0.000
2.058 2.889 8.604
Cs Ga Sb
4 2 4
direct
0.187 0.186 0.151
0.190 0.192 0.662
0.810 0.808 0.338
0.813 0.814 0.849
0.438 0.559 0.325
0.562 0.441 0.675
0.264 0.738 0.540
0.342 0.657 0.045
0.658 0.343 0.955
0.736 0.262 0.460
```



Entry 13:
# Cs2GaSb

An optimized crystal structure of Cs2GaSb (PBE-GGA, the Alexandria database).

## Properties
Magnetization = 0.00 Bohr magnetons per cell
Energy relative to the lowest polymorph listed for this composition = 0.1425 eV/atom

Geometry as POSCAR:
```
Cs2GaSb
1.0
6.000 -4.597 0.000
6.000 4.597 0.000
0.000 0.000 6.383
Cs Ga Sb
4 2 2
direct
0.016 0.321 0.250
0.321 0.016 0.750
0.679 0.984 0.250
0.984 0.679 0.750
0.500 0.500 0.000
0.500 0.500 0.500
0.227 0.773 0.250
0.773 0.227 0.750
```



Entry 14:
# CsGaSb

An optimized crystal structure of CsGaSb (PBE-GGA, the Alexandria database).

## Properties
Magnetization = 0.00 Bohr magnetons per cell
Energy relative to the lowest polymorph listed for this composition = 0.2061 eV/atom

Geometry as POSCAR:
```
CsGaSb
1.0
2.238 -9.889 0.000
2.238 9.889 0.000
0.000 0.000 5.367
Cs Ga Sb
2 2 2
direct
0.177 0.823 0.750
0.823 0.177 0.250
0.030 0.970 0.250
0.970 0.030 0.750
0.395 0.605 0.750
0.605 0.395 0.250
```



Entry 15:
# CsGa2Sb

An optimized crystal structure of CsGa2Sb (PBE-GGA, the Alexandria database).

## Properties
Magnetization = 0.00 Bohr magnetons per cell

Geometry as POSCAR:
```
CsGa2Sb
1.0
-4.413 4.413 3.818
4.413 -4.413 3.818
4.413 4.413 -3.818
Cs Ga Sb
2 4 2
direct
0.000 0.000 0.000
0.750 0.250 0.500
0.200 0.625 0.075
0.375 0.450 0.575
0.550 0.125 0.925
0.875 0.800 0.425
0.250 0.750 0.500
0.500 0.500 0.000
```



Entry 16:
# Cs3Ga2Sb2

An optimized crystal structure of Cs3Ga2Sb2 (PBE-GGA, the Alexandria database).

## Properties
Magnetization = 0.00 Bohr magnetons per cell

Geometry as POSCAR:
```
Cs3Ga2Sb2
1.0
-2.231 3.080 10.809
2.231 -3.080 10.809
2.231 3.080 -10.809
Cs Ga Sb
3 2 2
direct
0.000 0.000 0.000
0.184 0.684 0.500
0.816 0.316 0.500
0.443 0.443 0.000
0.557 0.557 0.000
0.373 0.873 0.500
0.627 0.127 0.500
```



Entry 17:
# Cs3Ga2Sb3

An optimized crystal structure of Cs3Ga2Sb3 (PBE-GGA, the Alexandria database).

## Properties
Magnetization = 0.00 Bohr magnetons per cell

Geometry as POSCAR:
```
Cs3Ga2Sb3
1.0
2.504 -7.657 0.000
2.504 7.657 0.000
0.000 0.000 16.474
Cs Ga Sb
6 4 6
direct
0.069 0.931 0.608
0.069 0.931 0.892
0.369 0.631 0.750
0.631 0.369 0.250
0.931 0.069 0.108
0.931 0.069 0.392
0.235 0.765 0.097
0.235 0.765 0.403
0.765 0.235 0.597
0.765 0.235 0.903
0.316 0.684 0.250
0.336 0.664 0.541
0.336 0.664 0.959
0.664 0.336 0.041
0.664 0.336 0.459
0.684 0.316 0.750
```



Entry 18:
# Cs2GaSb2

An optimized crystal structure of Cs2GaSb2 (PBE-GGA, the Alexandria database).

## Properties
Magnetization = 0.00 Bohr magnetons per cell
Energy relative to the lowest polymorph listed for this composition = 0.0000 eV/atom

Geometry as POSCAR:
```
Cs2GaSb2
1.0
18.387 0.000 0.000
0.000 11.406 0.000
0.000 0.000 8.553
Cs Ga Sb
16 8 16
direct
0.128 0.034 0.123
0.128 0.466 0.123
0.133 0.050 0.630
0.133 0.450 0.630
0.367 0.550 0.130
0.367 0.950 0.130
0.372 0.534 0.623
0.372 0.966 0.623
0.628 0.034 0.377
0.628 0.466 0.377
0.633 0.050 0.870
0.633 0.450 0.870
0.867 0.550 0.370
0.867 0.950 0.370
0.872 0.534 0.877
0.872 0.966 0.877
0.079 0.750 0.392
0.079 0.750 0.859
0.421 0.250 0.359
0.421 0.250 0.892
0.579 0.750 0.108
0.579 0.750 0.641
0.921 0.250 0.141
0.921 0.250 0.608
0.005 0.750 0.125
0.012 0.250 0.374
0.218 0.750 0.455
0.219 0.750 0.797
0.281 0.250 0.297
0.282 0.250 0.955
0.488 0.750 0.874
0.495 0.250 0.625
0.505 0.750 0.375
0.512 0.250 0.126
0.718 0.750 0.045
0.719 0.750 0.703
0.781 0.250 0.203
0.782 0.250 0.545
0.988 0.750 0.626
0.995 0.250 0.875
```



Entry 19:
# CsGaSb

An optimized crystal structure of CsGaSb (PBE-GGA, the Alexandria database).

## Properties
Magnetization = 0.00 Bohr magnetons per cell
Energy relative to the lowest polymorph listed for this composition = 0.0000 eV/atom

Geometry as POSCAR:
```
CsGaSb
1.0
5.079 0.000 0.000
0.000 5.237 0.000
-0.008 0.000 8.450
Cs Ga Sb
2 2 2
direct
0.249 0.250 0.168
0.751 0.750 0.832
0.250 0.750 0.507
0.750 0.250 0.493
0.250 0.250 0.659
0.750 0.750 0.341
```



Entry 20:
# CsGaSb

An optimized crystal structure of CsGaSb (PBE-GGA, the Alexandria database).

## Properties
Magnetization = 0.00 Bohr magnetons per cell
Energy relative to the lowest polymorph listed for this composition = 0.2265 eV/atom

Geometry as POSCAR:
```
CsGaSb
1.0
-1.990 1.990 6.765
1.990 -1.990 6.765
1.990 1.990 -6.765
Cs Ga Sb
1 1 1
direct
0.000 0.000 0.000
0.283 0.283 0.000
0.714 0.714 0.000
```



Entry 21:
# CsGaSb

An optimized crystal structure of CsGaSb (PBE-GGA, the Alexandria database).

## Properties
Magnetization = 0.00 Bohr magnetons per cell
Energy relative to the lowest polymorph listed for this composition = 0.1006 eV/atom

Geometry as POSCAR:
```
CsGaSb
1.0
4.536 0.000 0.000
-2.268 3.928 0.000
0.000 0.000 6.450
Cs Ga Sb
1 1 1
direct
0.000 0.000 0.000
0.333 0.667 0.588
0.667 0.333 0.454
```



Entry 22:
# CsGa2Sb

An optimized crystal structure of CsGa2Sb (PBE-GGA, the Alexandria database).

## Properties
Magnetization = 0.00 Bohr magnetons per cell

Geometry as POSCAR:
```
CsGa2Sb
1.0
2.325 1.342 7.431
-2.325 1.342 7.431
0.000 -2.685 7.431
Cs Ga Sb
1 2 1
direct
0.000 0.000 0.000
0.221 0.221 0.221
0.779 0.779 0.779
0.500 0.500 0.500
```



The records above give, respectively, raw formation energy values of -1.0898 -1.2003 0.0453 -0.4126 -0.3098 -0.2660 0.2953 -0.2323 0.1598 -0.3163 1.1961 -0.4118 -0.1510 -0.1533 0.0251 -0.3808 -0.3287 -0.4450 -0.3594 -0.1329 -0.2588 -0.1264 eV/atom.